Record 1
Entry from Alexandria via LeMat-Bulk: a relaxed Pm2Sm3Sb2 crystal (PBE).

**Crystal system**: monoclinic
**Uncorrected formation energy**: -3.16 eV per formula unit
**VASP energy**: -70.1 eV/cell
**Spin magnetization**: 1.36 μB/cell
**DOS(E_F)**: 14.875 states/eV per cell

Lattice parameters (Å, degrees): 16.9570 4.0120 7.4363 90.00 115.97 90.00
With the nearest neighbours (Å) after each atom.
Atoms (fractional coordinates):
Pm1 0.1076 0.0000 0.4989  2 Sb 3.17, 1 Sm 3.34
Pm2 0.3924 0.5000 0.5011  2 Sb 3.17, 1 Sm 3.34
Pm3 0.6076 0.5000 0.4989  2 Sb 3.17, 1 Sm 3.34
Pm4 0.8924 0.0000 0.5011  2 Sb 3.17, 1 Sm 3.34
Sm1 0.0000 0.0000 0.0000  4 Sb 3.17, 2 Sm 3.29, 2 Pm 3.34
Sm2 0.2139 0.0000 0.1574  3 Sm 3.29-3.68, 3 Sb 3.29-3.31, 2 Pm 3.60
Sm3 0.2861 0.5000 0.8426  3 Sm 3.29-3.68, 3 Sb 3.29-3.31, 2 Pm 3.60
Sm4 0.5000 0.5000 0.0000  4 Sb 3.17, 2 Sm 3.29, 2 Pm 3.34
Sm5 0.7139 0.5000 0.1574  3 Sm 3.29-3.68, 3 Sb 3.29-3.31, 2 Pm 3.60
Sm6 0.7861 0.0000 0.8426  3 Sm 3.29-3.68, 3 Sb 3.29-3.31, 2 Pm 3.60
Sb1 0.0834 0.5000 0.8006  2 Pm 3.17, 5 Sm 3.17-3.31
Sb2 0.4166 0.0000 0.1994  2 Pm 3.17, 5 Sm 3.17-3.31
Sb3 0.5834 0.0000 0.8006  2 Pm 3.17, 5 Sm 3.17-3.31
Sb4 0.9166 0.5000 0.1994  2 Pm 3.17, 5 Sm 3.17-3.31

Record 2
Entry from Alexandria via LeMat-Bulk: a relaxed ScTlRu2 crystal (PBE).

**Crystal system**: monoclinic
**VASP energy**: -53.1 eV/cell
**Spin magnetization**: 0.00 μB/cell
**DOS(E_F)**: 7.031 states/eV per cell
**DFT formation energy**: 0.176 eV per atom

Lattice parameters (Å, degrees): 5.9071 8.9184 2.9636 90.00 116.33 90.00
With the nearest neighbours (Å) after each atom.
Atoms (fractional coordinates):
Sc1 0.0000 0.0000 0.0000  4 Ru 2.72, 2 Tl 2.95, 2 Sc 2.96
Sc2 0.5000 0.5000 0.0000  4 Ru 2.72, 2 Tl 2.95, 2 Sc 2.96
Tl1 0.0000 0.5000 0.0000  4 Ru 2.72, 2 Sc 2.95, 2 Tl 2.96
Tl2 0.5000 0.0000 0.0000  4 Ru 2.72, 2 Sc 2.95, 2 Tl 2.96
Ru1 0.2500 0.2500 0.5000  2 Tl 2.72, 2 Sc 2.72, 4 Ru 2.95-2.96
Ru2 0.2500 0.7500 0.5000  2 Tl 2.72, 2 Sc 2.72, 4 Ru 2.95-2.96
Ru3 0.7500 0.2500 0.5000  2 Tl 2.72, 2 Sc 2.72, 4 Ru 2.95-2.96
Ru4 0.7500 0.7500 0.5000  2 Tl 2.72, 2 Sc 2.72, 4 Ru 2.95-2.96

Record 3
Entry from Alexandria via LeMat-Bulk: a relaxed CaRhSe2 crystal (PBE).

**Crystal system**: tetragonal
**Uncorrected formation energy**: -3.03 eV per formula unit
**VASP energy**: -77.4 eV/cell
**Spin magnetization**: 0.00 μB/cell
**Excess energy over the best structure of this formula in the dataset**: 0.155 eV/atom
**DOS(E_F)**: 5.655 states/eV per cell

Lattice parameters (Å, degrees): 5.8102 5.8102 13.0899 90.00 90.00 90.00
With the nearest neighbours (Å) after each atom.
Atoms (fractional coordinates):
Ca1 0.0000 0.0000 0.0000  4 Se 2.85
Ca2 0.0000 0.5000 0.2500  4 Se 2.85
Ca3 0.5000 0.0000 0.7500  4 Se 2.85
Ca4 0.5000 0.5000 0.5000  4 Se 2.85
Rh1 0.0000 0.0000 0.5000  4 Se 2.44
Rh2 0.0000 0.5000 0.7500  4 Se 2.44
Rh3 0.5000 0.0000 0.2500  4 Se 2.44
Rh4 0.5000 0.5000 0.0000  4 Se 2.44
Se1 0.1844 0.2500 0.6250  2 Rh 2.44
Se2 0.2500 0.6844 0.8750  2 Rh 2.44
Se3 0.2500 0.8156 0.3750  2 Rh 2.44
Se4 0.3156 0.2500 0.1250  2 Rh 2.44
Se5 0.6844 0.7500 0.1250  2 Rh 2.44
Se6 0.7500 0.1844 0.3750  2 Rh 2.44
Se7 0.7500 0.3156 0.8750  2 Rh 2.44
Se8 0.8156 0.7500 0.6250  2 Rh 2.44

Record 4
Entry from Alexandria via LeMat-Bulk: a relaxed AcZn3Rh2 crystal (PBE).

**Crystal system**: hexagonal
**VASP energy**: -25.7 eV/cell
**Spin magnetization**: 0.00 μB/cell
**Excess energy over the best structure of this formula in the dataset**: 0.000 eV/atom
**DOS(E_F)**: 2.787 states/eV per cell
**DFT formation energy**: -0.508 eV per atom

Lattice parameters (Å, degrees): 5.5647 5.5647 4.1602 90.00 90.00 120.00
With the nearest neighbours (Å) after each atom.
Atoms (fractional coordinates):
Ac1 0.0000 0.0000 0.0000  6 Rh 3.21, 12 Zn 3.47
Zn1 0.0000 0.5000 0.5000  4 Rh 2.63, 4 Zn 2.78
Zn2 0.5000 0.0000 0.5000  4 Rh 2.63, 4 Zn 2.78
Zn3 0.5000 0.5000 0.5000  4 Rh 2.63, 4 Zn 2.78
Rh1 0.3333 0.6667 0.0000  6 Zn 2.63
Rh2 0.6667 0.3333 0.0000  6 Zn 2.63